Record 1
Dy3Cu5S12: relaxed, GGA-PBE.

Cell lengths 14.677, 14.677, 14.677 Å; angles 90.00, 90.00, 90.00 degrees
Space group Ia-3d (No. 230)
Asymmetric unit:
Dy (0.000, 0.250, 0.125) x24
Cu (0.000, 0.000, 0.000) x16
Cu (0.000, 0.250, 0.375) x24
S (0.026, 0.057, 0.649) x96

The value obtained for the uncorrected formation energy is -0.683 eV/atom.

Record 2
SnHg2N: relaxed, GGA-PBE.

Cell lengths 7.004, 7.004, 7.004 Å; angles 90.00, 90.00, 90.00 degrees
Space group Fm-3m (No. 225)
Asymmetric unit:
Sn (0.000, 0.000, 0.000) x4
Hg (0.250, 0.250, 0.250) x8
N (0.000, 0.000, 0.500) x4

The calculation puts the energy above the most stable polymorph in this dataset at 387.9 meV per atom. The value obtained for the uncorrected formation energy is 1.170 eV/atom.

Record 3
Pr12Er5Tl2: relaxed, GGA-PBE.

Cell lengths 15.578, 9.472, 8.717 Å; angles 90.00, 93.27, 90.00 degrees
Space group C2/m (No. 12)
Asymmetric unit:
Pr (0.058, 0.000, 0.320) x4
Pr (0.084, 0.500, 0.885) x4
Pr (0.124, 0.195, 0.655) x8
Pr (0.151, 0.315, 0.233) x8
Er (0.000, 0.500, 0.500) x2
Er (0.185, 0.000, 0.005) x4
Er (0.232, 0.500, 0.586) x4
Tl (0.000, 0.180, 0.000) x4

As for the formation energy: 0.013 eV/atom.

- What is the formula in the second record?
  SnHg2N